A relaxed FeNi2Rh crystal, computed with PBE-GGA.

As for the total energy: -81.55 eV/cell. As for the formation energy: 0.05 eV per atom.

It has space group R-3m (No. 166, hexagonal axes), with a = 2.6080 Å, b = 2.6080 Å, c = 24.9828 Å, α = 90.00°, β = 90.00° and γ = 120.00°. The inequivalent atoms are Fe at (0.0000, 0.0000, 0.0000), Ni at (0.0000, 0.0000, 0.2530) and Rh at (0.0000, 0.0000, 0.5000).

---

A relaxed Hg2BiRuI crystal, computed with PBE-GGA.

As for the total energy: -9.29 eV/cell. The formation energy from raw total energies comes out at 1.204 eV per atom.

It has space group P4/mmm (No. 123), with a = 5.892 Å, b = 5.892 Å, c = 6.197 Å, α = 90.00°, β = 90.00° and γ = 90.00°. The inequivalent atoms are Hg at (0.000, 0.500, 0.000), Bi at (0.000, 0.000, 0.000), Ru at (0.500, 0.500, 0.500) and I at (0.000, 0.000, 0.500).

---

> Number 2 is which compound?

Hg2BiRuI

---

What did the first record say?
A relaxed FeNi2Rh crystal, computed with PBE-GGA.

As for the total energy: -81.55 eV/cell. As for the formation energy: 0.05 eV per atom.

It has space group R-3m (No. 166, hexagonal axes), with a = 2.6080 Å, b = 2.6080 Å, c = 24.9828 Å, α = 90.00°, β = 90.00° and γ = 120.00°. The inequivalent atoms are Fe at (0.0000, 0.0000, 0.0000), Ni at (0.0000, 0.0000, 0.2530) and Rh at (0.0000, 0.0000, 0.5000).

---

Copy entry 2 word for word.
A relaxed Hg2BiRuI crystal, computed with PBE-GGA.

As for the total energy: -9.29 eV/cell. The formation energy from raw total energies comes out at 1.204 eV per atom.

It has space group P4/mmm (No. 123), with a = 5.892 Å, b = 5.892 Å, c = 6.197 Å, α = 90.00°, β = 90.00° and γ = 90.00°. The inequivalent atoms are Hg at (0.000, 0.500, 0.000), Bi at (0.000, 0.000, 0.000), Ru at (0.500, 0.500, 0.500) and I at (0.000, 0.000, 0.500).